No. 1
This record from Alexandria describes crystalline HfP2HRh at its relaxed geometry. The functional is PBE.

```
HfP2HRh
1.0
4.9707 0.0000 0.0000
0.0000 4.9707 0.0000
0.0000 0.0000 4.8900
Hf P H Rh
1 2 1 1
Cartesian
0.0000 0.0000 0.0000
0.0000 2.4854 0.0000
2.4854 0.0000 0.0000
2.4854 2.4854 2.4450
0.0000 0.0000 2.4450
```

Properties
- space-group type = P4/mmm, No. 123
- crystal system = tetragonal
- final energy (eV per atom) = -5.15
- magnetic moment (μB per formula unit) = 0.8

No. 2
This record from Alexandria describes crystalline HfPHRu at its relaxed geometry. The functional is PBE.

```
HfPHRu
1.0
3.8969 0.0000 0.0000
0.0000 3.8969 0.0000
0.0000 0.0000 6.4519
Hf P H Ru
2 2 2 2
Cartesian
0.9742 0.9742 0.9650
2.9227 2.9227 5.4869
0.9742 0.9742 4.5472
2.9227 2.9227 1.9048
0.9742 2.9227 0.0000
2.9227 0.9742 0.0000
0.9742 2.9227 3.2260
2.9227 0.9742 3.2260
```

Properties
- space-group type = P4/nmm, No. 129
- crystal system = tetragonal
- final energy (eV per atom) = -7.69
- magnetic moment (μB per formula unit) = 0.0

No. 3
This record from Alexandria describes crystalline HfP2HS at its relaxed geometry. The functional is PBE.

```
HfP2HS
1.0
5.0425 0.0000 0.0000
0.0000 5.0425 0.0000
0.0000 0.0000 4.9064
Hf P H S
1 2 1 1
Cartesian
0.0000 0.0000 0.0000
0.0000 2.5213 0.0000
2.5213 0.0000 0.0000
2.5213 2.5213 2.4532
0.0000 0.0000 2.4532
```

Properties
- space-group type = P4/mmm, No. 123
- crystal system = tetragonal
- excess energy over the best structure of this formula in the dataset (kJ/mol of atoms) = 61.44
- magnetic moment (μB per formula unit) = 0.1

No. 4
This record from Alexandria describes crystalline HfP2HS at its relaxed geometry. The functional is PBE.

```
HfP2HS
1.0
3.6430 0.0000 0.0000
0.0000 3.6430 0.0000
0.0000 0.0000 5.1748
Hf P H S
1 2 1 1
Cartesian
0.0000 0.0000 0.0000
0.0000 1.8215 2.5874
1.8215 0.0000 2.5874
1.8215 1.8215 2.5874
1.8215 1.8215 0.0000
```

Properties
- space-group type = P4/mmm, No. 123
- crystal system = tetragonal
- excess energy over the best structure of this formula in the dataset (kJ/mol of atoms) = 0.00
- magnetic moment (μB per formula unit) = 0.0

No. 5
This record from Alexandria describes crystalline HfTcPH at its relaxed geometry. The functional is PBE.

```
HfTcPH
1.0
3.9461 0.0000 0.0000
0.0000 3.9461 0.0000
0.0000 0.0000 6.4861
Hf Tc P H
2 2 2 2
Cartesian
0.9865 0.9865 0.9875
2.9596 2.9596 5.4986
0.9865 2.9596 3.2431
2.9596 0.9865 3.2431
0.9865 0.9865 4.5688
2.9596 2.9596 1.9173
0.9865 2.9596 0.0000
2.9596 0.9865 0.0000
```

Properties
- space-group type = P4/nmm, No. 129
- crystal system = tetragonal
- final energy (eV per atom) = -7.83
- magnetic moment (μB per formula unit) = 0.0

No. 6
This record from Alexandria describes crystalline HfZrP2H at its relaxed geometry. The functional is PBE.

```
HfZrP2H
1.0
4.8249 0.0000 0.0000
0.0000 4.8249 0.0000
0.0000 0.0000 5.4711
Hf Zr P H
1 1 2 1
Cartesian
0.0000 0.0000 0.0000
0.0000 0.0000 2.7355
0.0000 2.4125 0.0000
2.4125 0.0000 0.0000
2.4125 2.4125 2.7355
```

Properties
- space-group type = P4/mmm, No. 123
- crystal system = tetragonal
- final energy (eV per atom) = -5.55
- magnetic moment (μB per formula unit) = 0.0

No. 7
This record from Alexandria describes crystalline HfPa3H at its relaxed geometry. The functional is PBE.

```
HfPa3H
1.0
4.6923 0.0000 0.0000
0.0000 4.6923 0.0000
0.0000 0.0000 4.6923
Hf Pa H
1 3 1
Cartesian
0.0000 0.0000 0.0000
0.0000 2.3461 2.3461
2.3461 0.0000 2.3461
2.3461 2.3461 0.0000
2.3461 2.3461 2.3461
```

Properties
- space-group type = Pm-3m, No. 221
- crystal system = cubic
- final energy (eV per atom) = -8.33
- magnetic moment (μB per formula unit) = 0.0

No. 8
This record from Alexandria describes crystalline HfPaH at its relaxed geometry. The functional is PBE.

```
HfPaH
1.0
-1.5277 1.5277 10.8259
1.5277 -1.5277 10.8259
1.5277 1.5277 -10.8259
Hf Pa H
2 2 2
Cartesian
0.0000 0.0000 1.5340
0.0000 0.0000 20.1179
0.0000 0.0000 6.7448
0.0000 0.0000 14.9070
0.0000 0.0000 9.1112
0.0000 0.0000 12.5407
```

Properties
- space-group type = I4/mmm, No. 139
- crystal system = tetragonal
- excess energy over the best structure of this formula in the dataset (kJ/mol of atoms) = 12.00
- magnetic moment (μB per formula unit) = 0.0

No. 9
This record from Alexandria describes crystalline Hf2PaH at its relaxed geometry. The functional is PBE.

```
Hf2PaH
1.0
1.5516 0.8958 8.5731
-1.5516 0.8958 8.5731
0.0000 -1.7916 8.5731
Hf Pa H
2 1 1
Cartesian
0.0000 0.0000 2.9708
0.0000 0.0000 22.7485
0.0000 0.0000 0.0000
0.0000 0.0000 12.8596
```

Properties
- space-group type = R-3m, No. 166
- crystal system = trigonal
- excess energy over the best structure of this formula in the dataset (kJ/mol of atoms) = 0.00
- magnetic moment (μB per formula unit) = 0.0

No. 10
This record from Alexandria describes crystalline HfPa2H at its relaxed geometry. The functional is PBE.

```
HfPa2H
1.0
3.0736 0.0000 0.0000
0.0000 3.0736 0.0000
0.0000 0.0000 7.9011
Hf Pa H
1 2 1
Cartesian
0.0000 0.0000 0.0000
1.5368 1.5368 2.4878
1.5368 1.5368 5.4133
0.0000 0.0000 3.9505
```

Properties
- space-group type = P4/mmm, No. 123
- crystal system = tetragonal
- excess energy over the best structure of this formula in the dataset (kJ/mol of atoms) = 17.26
- magnetic moment (μB per formula unit) = 0.0

No. 11
This record from Alexandria describes crystalline HfPa2H at its relaxed geometry. The functional is PBE.

```
HfPa2H
1.0
1.5911 0.9186 8.6092
-1.5911 0.9186 8.6092
0.0000 -1.8373 8.6092
Hf Pa H
1 2 1
Cartesian
0.0000 0.0000 0.0000
0.0000 0.0000 5.8718
0.0000 0.0000 19.9559
0.0000 0.0000 12.9138
```

Properties
- space-group type = R-3m, No. 166
- crystal system = trigonal
- excess energy over the best structure of this formula in the dataset (kJ/mol of atoms) = 0.00
- magnetic moment (μB per formula unit) = 0.0

No. 12
This record from Alexandria describes crystalline HfPaH2 at its relaxed geometry. The functional is PBE.

```
HfPaH2
1.0
1.5664 0.9043 5.9990
-1.5664 0.9043 5.9990
0.0000 -1.8087 5.9990
Hf Pa H
1 1 2
Cartesian
0.0000 0.0000 0.0000
0.0000 0.0000 8.9984
0.0000 0.0000 4.8547
0.0000 0.0000 13.1422
```

Properties
- space-group type = R-3m, No. 166
- crystal system = trigonal
- excess energy over the best structure of this formula in the dataset (kJ/mol of atoms) = 0.00
- magnetic moment (μB per formula unit) = 0.0